Density functional theory data (PBE-GGA) for SmZn6Cu4 after structural relaxation.

## Properties
Total energy, eV/atom: -2.7758
Total magnetic moment, μB per cell: 0.00
DOS at the Fermi energy, states/eV/f.u.: 5.08
Calculated formation energy, meV/atom: -162
V, A^3/atom: 15.67

Cell lengths 4.0462, 7.0132, 7.0132 Å; angles 120.00, 90.00, 90.00 degrees
Positions (direct):
Cu (0.5000, 0.4134, 0.2067)
Cu (0.0000, 0.3333, 0.6667)
Cu (0.5000, 0.7933, 0.5866)
Cu (0.5000, 0.7933, 0.2067)
Zn (0.0000, 0.5361, 0.4639)
Zn (0.5000, 0.5916, 0.7958)
Zn (0.0000, 0.9277, 0.4639)
Zn (0.0000, 0.5361, 0.0723)
Zn (0.5000, 0.2042, 0.7958)
Zn (0.5000, 0.2042, 0.4084)
Sm (0.0000, 0.0000, 0.0000)